[1]
Material: LiTmCoC
Method: DFT, PBE-GGA
State: relaxed

magnetization: 0.000 μB/atom
calculated total energy: -5.73 eV per atom
DFT formation energy: -0.049 eV per atom

Unit cell a=3.3561 b=3.3561 c=10.5097 alpha=90.00 beta=90.00 gamma=90.00
Last column: nearest neighbours and their distance in Å.
Element x y z (fractional)
Li 0.2500 0.7500 0.0000  4 Li 2.37
Li 0.7500 0.2500 0.0000  4 Li 2.37
Tm 0.2500 0.2500 0.2825  4 C 2.65, 4 Co 2.84
Tm 0.7500 0.7500 0.7175  4 C 2.65, 4 Co 2.84
Co 0.2500 0.7500 0.5000  4 C 2.01
Co 0.7500 0.2500 0.5000  4 C 2.01
C 0.2500 0.2500 0.6059  4 Co 2.01
C 0.7500 0.7500 0.3941  4 Co 2.01

[2]
Material: RuPtRh6
Method: DFT, PBE-GGA
State: relaxed

magnetization: 0.000 μB/atom
calculated total energy: -7.45 eV per atom
DFT formation energy: -0.019 eV per atom

Unit cell a=3.8485 b=3.8485 c=7.7259 alpha=90.00 beta=90.00 gamma=90.00
Last column: nearest neighbours and their distance in Å.
Element x y z (fractional)
Ru 0.0000 0.0000 0.0000  12 Rh 2.69-2.72
Pt 0.0000 0.0000 0.5000  12 Rh 2.72-2.76
Rh 0.0000 0.5000 0.2438  8 Rh 2.69-2.76, 2 Ru 2.69, 2 Pt 2.76
Rh 0.0000 0.5000 0.7562  2 Ru 2.69, 8 Rh 2.69-2.76, 2 Pt 2.76
Rh 0.5000 0.0000 0.2438  8 Rh 2.69-2.76, 2 Ru 2.69, 2 Pt 2.76
Rh 0.5000 0.0000 0.7562  2 Ru 2.69, 8 Rh 2.69-2.76, 2 Pt 2.76
Rh 0.5000 0.5000 0.0000  8 Rh 2.69, 4 Ru 2.72
Rh 0.5000 0.5000 0.5000  4 Pt 2.72, 8 Rh 2.76

[3]
Material: Dy12Cu6Pt
Method: DFT, PBE-GGA
State: relaxed

magnetization: 0.000 μB/atom
calculated total energy: -4.60 eV per atom
DFT formation energy: -0.082 eV per atom

Unit cell a=8.1569 b=8.1569 c=8.1569 alpha=98.88 beta=98.88 gamma=98.88
Last column: nearest neighbours and their distance in Å.
Element x y z (fractional)
Dy 0.0451 0.6745 0.9134  1 Pt 2.74, 2 Cu 2.78-2.85
Dy 0.0866 0.9549 0.3255  1 Pt 2.74, 2 Cu 2.78-2.85
Dy 0.1867 0.4150 0.5670  4 Cu 2.75-3.07
Dy 0.3255 0.0866 0.9549  1 Pt 2.74, 2 Cu 2.78-2.85
Dy 0.4150 0.5670 0.1867  4 Cu 2.75-3.07
Dy 0.4330 0.8133 0.5850  4 Cu 2.75-3.07
Dy 0.5670 0.1867 0.4150  4 Cu 2.75-3.07
Dy 0.5850 0.4330 0.8133  4 Cu 2.75-3.07
Dy 0.6745 0.9134 0.0451  1 Pt 2.74, 2 Cu 2.78-2.85
Dy 0.8133 0.5850 0.4330  4 Cu 2.75-3.07
Dy 0.9134 0.0451 0.6745  1 Pt 2.74, 2 Cu 2.78-2.85
Dy 0.9549 0.3255 0.0866  1 Pt 2.74, 2 Cu 2.78-2.85
Cu 0.1319 0.6231 0.3141  6 Dy 2.75-3.07
Cu 0.3141 0.1319 0.6231  6 Dy 2.75-3.07
Cu 0.3769 0.6859 0.8681  6 Dy 2.75-3.07
Cu 0.6231 0.3141 0.1319  6 Dy 2.75-3.07
Cu 0.6859 0.8681 0.3769  6 Dy 2.75-3.07
Cu 0.8681 0.3769 0.6859  6 Dy 2.75-3.07
Pt 0.0000 0.0000 0.0000  6 Dy 2.74

[4]
Material: PmHgBr2
Method: DFT, PBE-GGA
State: relaxed

magnetization: 0.000 μB/atom
calculated total energy: -3.31 eV per atom

Unit cell a=12.0508 b=12.0508 c=12.0508 alpha=18.87 beta=18.87 gamma=18.87
Last column: nearest neighbours and their distance in Å.
Element x y z (fractional)
Pm 0.0000 0.0000 0.0000  6 Br 2.96
Hg 0.5000 0.5000 0.5000  6 Hg 3.95, 2 Br 4.02
Br 0.3867 0.3867 0.3867  3 Pm 2.96
Br 0.6133 0.6133 0.6133  3 Pm 2.96

[5]
Material: BaMoIr4
Method: DFT, PBE-GGA
State: relaxed

magnetization: 0.235 μB/atom
calculated total energy: -7.56 eV per atom
DFT formation energy: 0.476 eV per atom

Unit cell a=5.3812 b=5.3812 c=5.3812 alpha=60.00 beta=60.00 gamma=60.00
Last column: nearest neighbours and their distance in Å.
Element x y z (fractional)
Ba 0.0000 0.0000 0.0000  12 Ir 3.16, 4 Mo 3.30
Mo 0.2500 0.2500 0.2500  12 Ir 3.15, 4 Ba 3.30
Ir 0.1269 0.6244 0.6244  6 Ir 2.68-2.70
Ir 0.6244 0.1269 0.6244  6 Ir 2.68-2.70
Ir 0.6244 0.6244 0.1269  6 Ir 2.68-2.70
Ir 0.6244 0.6244 0.6244  6 Ir 2.68-2.70

[6]
Material: PmSm2YTh
Method: DFT, PBE-GGA
State: relaxed

magnetization: 0.000 μB/atom
calculated total energy: -5.31 eV per atom
DFT formation energy: 0.304 eV per atom

Unit cell a=8.5788 b=6.4634 c=6.3933 alpha=90.00 beta=97.48 gamma=90.00
Last column: nearest neighbours and their distance in Å.
Element x y z (fractional)
Pm 0.0000 0.0000 0.0000  2 Pm 3.20, 2 Th 3.32, 2 Sm 3.47
Pm 0.0000 0.0000 0.5000  2 Pm 3.20, 2 Th 3.32, 2 Sm 3.47
Sm 0.3133 0.3080 0.2079  1 Th 3.15, 1 Sm 3.18, 1 Pm 3.47, 1 Y 3.51
Sm 0.3133 0.6920 0.7079  1 Th 3.15, 1 Sm 3.18, 1 Pm 3.47, 1 Y 3.51
Sm 0.6867 0.3080 0.2921  1 Th 3.15, 1 Sm 3.18, 1 Pm 3.47, 1 Y 3.51
Sm 0.6867 0.6920 0.7921  1 Th 3.15, 1 Sm 3.18, 1 Pm 3.47, 1 Y 3.51
Y 0.5000 0.1753 0.7500  8 Sm 3.51-3.72, 2 Y 3.92
Y 0.5000 0.8247 0.2500  8 Sm 3.51-3.72, 2 Y 3.92
Th 0.0000 0.4495 0.7500  2 Sm 3.15, 2 Th 3.26, 2 Pm 3.32
Th 0.0000 0.5505 0.2500  2 Sm 3.15, 2 Th 3.26, 2 Pm 3.32